The following is a DFT calculation (PBE with a Hubbard U) of CsK2CoO4 after structural relaxation.

Unit cell a=6.472 b=6.014 c=6.014 alpha=80.89 beta=57.44 gamma=57.44
Positions (direct):
O 0.308 0.222 0.470
O 0.000 0.470 0.222
O 0.692 0.530 0.778
O 0.000 0.778 0.530
K 0.500 0.750 0.250
K 0.500 0.250 0.750
Cs 0.000 0.000 0.000
Co 0.000 0.500 0.500

Values from the calculation:
E_tot   -37.22 eV per formula unit
Magnetic moment   0.0 μB/f.u.
Crystal system   tetragonal